Entry 1:
# PBE-GGA Ac4Zn3Rh, optimized geometry
# * M_tot: 0.0 μB/cell
# * calculated total energy: -3.800 eV per atom
# * DOS(E_F): 7.7 states/eV/f.u.
# * formation enthalpy at 0 K: -0.3496 eV per atom
data_Ac4Zn3Rh
_chemical_formula_sum 'Ac4 Zn3 Rh1'
_symmetry_space_group_name_H-M 'P m m 2'
_symmetry_Int_Tables_number 25
_cell_length_a 4.2797
_cell_length_b 4.6896
_cell_length_c 11.7464
_cell_angle_alpha 90.00
_cell_angle_beta 90.00
_cell_angle_gamma 90.00
loop_
_symmetry_equiv_pos_as_xyz
'x,y,z'
'-x,-y,z'
'-x,y,z'
'x,-y,z'
loop_
_atom_site_label
_atom_site_fract_x
_atom_site_fract_y
_atom_site_fract_z
_atom_site_occupancy
Ac1 0.0000 0.0000 0.0000 1
Ac2 0.0000 0.5000 0.2672 1
Ac3 0.5000 0.0000 0.4697 1
Ac4 0.5000 0.5000 0.7744 1
Zn1 0.0000 0.0000 0.6896 1
Zn2 0.0000 0.5000 0.5578 1
Zn3 0.5000 0.5000 0.0631 1
Rh1 0.5000 0.0000 0.1939 1

---

Entry 2:
# PBE-GGA AgPRh2, optimized geometry
# * M_tot: 0.0 μB/cell
# * calculated total energy: -5.444 eV per atom
# * DOS(E_F): 3.8 states/eV/f.u.
# * formation enthalpy at 0 K: 0.2968 eV per atom
data_AgPRh2
_chemical_formula_sum 'Ag1 P1 Rh2'
_symmetry_space_group_name_H-M 'P m m m'
_symmetry_Int_Tables_number 47
_cell_length_a 2.8894
_cell_length_b 4.4139
_cell_length_c 4.7143
_cell_angle_alpha 90.00
_cell_angle_beta 90.00
_cell_angle_gamma 90.00
loop_
_symmetry_equiv_pos_as_xyz
'x,y,z'
'-x,-y,-z'
'-x,-y,z'
'x,y,-z'
'x,-y,-z'
'-x,y,z'
'-x,y,-z'
'x,-y,z'
loop_
_atom_site_label
_atom_site_fract_x
_atom_site_fract_y
_atom_site_fract_z
_atom_site_occupancy
Ag1 0.0000 0.0000 0.0000 1
P1 0.5000 0.0000 0.5000 1
Rh1 0.0000 0.5000 0.5000 1
Rh2 0.5000 0.5000 0.0000 1

---

Entry 3:
# PBE-GGA InCoNi14, optimized geometry
# * M_tot: 18.4 μB/cell
# * calculated total energy: -5.630 eV per atom
# * DOS(E_F): 25.6 states/eV/f.u.
# * formation enthalpy at 0 K: 0.0443 eV per atom
data_InCoNi14
_chemical_formula_sum 'In2 Co2 Ni28'
_symmetry_space_group_name_H-M 'A m m 2'
_symmetry_Int_Tables_number 38
_cell_length_a 8.2556
_cell_length_b 5.0700
_cell_length_c 8.7576
_cell_angle_alpha 90.00
_cell_angle_beta 90.00
_cell_angle_gamma 90.00
loop_
_symmetry_equiv_pos_as_xyz
'x,y,z'
'-x,-y,z'
'-x,y,z'
'x,-y,z'
'x,y+1/2,z+1/2'
'-x,-y+1/2,z+1/2'
'-x,y+1/2,z+1/2'
'x,-y+1/2,z+1/2'
loop_
_atom_site_label
_atom_site_fract_x
_atom_site_fract_y
_atom_site_fract_z
_atom_site_occupancy
In1 0.0000 0.0000 0.0000 1
Co1 0.0000 0.0000 0.5003 1
Ni1 0.0000 0.2502 0.2501 1
Ni2 0.2488 0.0000 0.3340 1
Ni3 0.2575 0.2437 0.5847 1
Ni4 0.2591 0.0000 0.8299 1
Ni5 0.5000 0.0000 0.1669 1
Ni6 0.5000 0.0000 0.6659 1
Ni7 0.5000 0.2490 0.4155 1

---

Q: The lowest DOS(E_F) belongs to which entry?
A: AgPRh2